1.
The following is a DFT calculation (PBE-GGA) of a relaxed structure of Ca2YIn.

- Space group: No. 10
- D(E_F): 4.0 states/eV/f.u.
- VASP energy: -3.4425 eV per atom
- ΔH_f (0 K): -141 meV per atom

```
4
Lattice="5.1187 0.0000 0.0000 0.0000 3.5990 0.0948 0.0000 3.3134 7.0026" Properties=species:S:1:pos:R:3 pbc="T T T"
Y 2.5594 5.1843 5.3231
Ca 0.0000 3.6209 0.1982
Ca 0.0000 3.4343 3.4453
In 2.5594 1.7281 1.7744
```

=====

2.
The following is a DFT calculation (PBE-GGA) of a relaxed structure of CaYIn.

- Space group: No. 8
- D(E_F): 3.2 states/eV/f.u.
- VASP energy: -4.0195 eV per atom
- ΔH_f (0 K): -285 meV per atom
- Relative energy among the computed polymorphs: 0.118 eV per atom

```
6
Lattice="-8.3426 -0.9067 2.1530 -0.0745 -4.9289 -2.3609 0.1730 -1.6963 3.5355" Properties=species:S:1:pos:R:3 pbc="T T T"
Y -6.8630 -3.9754 0.9462
Y -3.5483 -4.7977 2.5700
Ca -1.0630 -0.6193 0.0907
Ca -6.0797 -2.3544 3.8636
In -0.9351 -3.9313 0.6769
In -3.7024 -1.4833 1.9867
```

=====

3.
The following is a DFT calculation (PBE-GGA) of a relaxed structure of CaYIn.

- Space group: No. 12
- D(E_F): 2.5 states/eV/f.u.
- VASP energy: -4.0309 eV per atom
- ΔH_f (0 K): -296 meV per atom
- Relative energy among the computed polymorphs: 0.107 eV per atom

```
6
Lattice="-0.3495 6.1351 -4.2918 -1.8445 -5.4691 -4.3293 -3.1404 0.9848 1.6637" Properties=species:S:1:pos:R:3 pbc="T T T"
Y -0.7890 4.1192 -3.0317
Y -2.6440 -0.8269 -3.6049
Ca -0.5910 1.1572 -0.9035
Ca -2.8447 2.1344 -5.7371
In -3.1124 -0.9295 -0.3391
In -3.2881 2.1394 -2.4880
```

=====

4.
The following is a DFT calculation (PBE-GGA) of a relaxed structure of Ca2YIn.

- Space group: No. 216
- D(E_F): 3.1 states/eV/f.u.
- VASP energy: -3.4683 eV per atom
- ΔH_f (0 K): -167 meV per atom

```
4
Lattice="5.5943 0.0000 0.0000 2.7971 4.8448 0.0000 2.7971 1.6149 4.5677" Properties=species:S:1:pos:R:3 pbc="T T T"
Y 2.7971 1.6149 1.1419
Ca 0.0000 0.0000 0.0000
Ca 8.3914 4.8448 3.4258
In 5.5943 3.2298 2.2838
```

=====

5.
The following is a DFT calculation (PBE-GGA) of a relaxed structure of Ca2Y3In3.

- Space group: No. 71
- D(E_F): 7.6 states/eV/f.u.
- VASP energy: -4.2585 eV per atom
- ΔH_f (0 K): -307 meV per atom

```
8
Lattice="-0.1870 3.7880 -2.1991 -0.4142 -2.5341 -4.3298 -10.2134 -0.5786 4.2419" Properties=species:S:1:pos:R:3 pbc="T T T"
Ca -5.6790 -1.2419 -1.6562
Ca -5.1356 1.9172 -0.6308
Y -8.1157 0.0373 0.7545
Y -2.6989 0.6380 -3.0415
Y -0.0935 1.8940 -1.0996
In -8.2384 0.6634 -2.5265
In -0.2071 -1.2671 -2.1649
In -2.5761 0.0118 0.2395
```

=====

6.
The following is a DFT calculation (PBE-GGA) of a relaxed structure of Ca3YIn.

- Space group: No. 221
- D(E_F): 7.9 states/eV/f.u.
- VASP energy: -2.8076 eV per atom
- ΔH_f (0 K): 234 meV per atom
- Relative energy among the computed polymorphs: 0.000 eV per atom

```
5
Lattice="5.9323 0.0000 0.0000 0.0000 5.9323 0.0000 0.0000 0.0000 5.9323" Properties=species:S:1:pos:R:3 pbc="T T T"
Y 2.9662 2.9662 2.9662
Ca 0.0000 2.9662 0.0000
Ca 0.0000 0.0000 2.9662
Ca 2.9662 0.0000 0.0000
In 0.0000 0.0000 0.0000
```

=====

7.
The following is a DFT calculation (PBE-GGA) of a relaxed structure of CaYIn.

- Space group: No. 156
- D(E_F): 0.7 states/eV/f.u.
- VASP energy: -4.1045 eV per atom
- ΔH_f (0 K): -370 meV per atom
- Relative energy among the computed polymorphs: 0.033 eV per atom

```
6
Lattice="-4.8306 -1.4535 -1.9210 2.0484 -6.7505 -0.0435 -3.9985 -1.2354 3.4100" Properties=species:S:1:pos:R:3 pbc="T T T"
Y -3.3517 -1.9289 -0.2343
Y -4.7757 -7.8347 0.2301
Ca -3.4260 -5.5025 2.6590
Ca -5.7965 -4.4675 0.2514
In -4.4521 -2.1167 2.6802
In -2.3067 -5.3738 -0.2559
```

=====

8.
The following is a DFT calculation (PBE-GGA) of a relaxed structure of Ca2Y2In3.

- Space group: No. 166
- D(E_F): 5.6 states/eV/f.u.
- VASP energy: -3.9585 eV per atom
- ΔH_f (0 K): -366 meV per atom

```
7
Lattice="0.2885 4.0169 -3.4093 0.4589 -4.9652 -1.7283 -9.1458 -1.4161 1.6410" Properties=species:S:1:pos:R:3 pbc="T T T"
Ca -3.3977 -0.1530 -0.4674
Ca -5.0007 -2.2114 -3.0292
Y -0.8365 0.9690 -3.0121
Y -7.5619 -3.3334 -0.4845
In 0.0000 0.0000 0.0000
In -6.6621 -0.2958 -0.9129
In -1.7363 -2.0686 -2.5838
```

=====

9.
The following is a DFT calculation (PBE-GGA) of a relaxed structure of CaY5In3.

- Space group: No. 193
- D(E_F): 7.9 states/eV/f.u.
- VASP energy: -5.1246 eV per atom
- ΔH_f (0 K): -398 meV per atom

```
18
Lattice="-0.7421 6.7620 0.0333 -9.2520 -1.0208 1.1003 5.5775 0.5751 7.5107" Properties=species:S:1:pos:R:3 pbc="T T T"
Ca 0.0000 0.0000 0.0000
Ca -0.3711 3.3810 0.0166
Y -4.3089 -0.4888 3.2371
Y 0.2632 3.4242 5.3905
Y 0.6343 0.0431 5.3738
Y -4.6799 2.8922 3.2537
Y -3.0114 4.7738 5.7778
Y -7.9573 4.2416 3.6181
Y -3.6274 4.7327 0.3902
Y -1.4053 1.5426 2.8664
Y 3.5406 2.0747 5.0261
Y -6.3667 1.0085 0.7434
In -1.7939 4.9215 2.9242
In 3.1429 5.4530 5.0068
In -6.6931 4.3945 0.7547
In -2.6228 1.3949 5.7200
In -7.5596 0.8634 3.6374
In -3.3011 1.3468 0.3788
```

=====

10.
The following is a DFT calculation (PBE-GGA) of a relaxed structure of CaY2In4.

- Space group: No. 139
- D(E_F): 4.4 states/eV/f.u.
- VASP energy: -4.0070 eV per atom
- ΔH_f (0 K): -309 meV per atom

```
7
Lattice="-4.2700 1.3666 -2.7381 -2.8476 -3.4958 2.6960 1.9826 6.2338 5.0589" Properties=species:S:1:pos:R:3 pbc="T T T"
Y -4.3437 1.5095 2.4876
Y -0.7913 2.5951 2.5292
Ca 0.0000 0.0000 0.0000
In -2.6351 2.2248 5.2197
In -3.3463 4.6559 2.5026
In -2.4998 1.8798 -0.2029
In -1.7887 -0.5514 2.5141
```

=====

11.
The following is a DFT calculation (PBE-GGA) of a relaxed structure of CaY2ZnIn.

- Space group: No. 123
- D(E_F): 8.5 states/eV/f.u.
- VASP energy: -3.3918 eV per atom
- ΔH_f (0 K): 397 meV per atom

```
5
Lattice="5.7586 0.0000 0.0000 0.0000 5.8038 0.0000 0.0000 0.0000 5.7586" Properties=species:S:1:pos:R:3 pbc="T T T"
Y 0.0000 0.0000 2.8793
Y 2.8793 0.0000 0.0000
Zn 2.8793 2.9019 2.8793
Ca 0.0000 2.9019 0.0000
In 0.0000 0.0000 0.0000
```

=====

12.
The following is a DFT calculation (PBE-GGA) of a relaxed structure of CaYZnIn.

- Space group: No. 99
- D(E_F): 2.5 states/eV/f.u.
- VASP energy: -3.5204 eV per atom
- ΔH_f (0 K): -401 meV per atom

```
4
Lattice="-0.5170 -1.6425 -3.2430 -2.0099 -2.6003 1.6374 -6.3012 4.1724 -1.1086" Properties=species:S:1:pos:R:3 pbc="T T T"
Ca -4.9935 0.3485 -1.4591
Y -2.0595 -1.5943 -0.9429
Zn -2.1747 1.4400 -0.3826
In -5.4476 3.6072 -0.9585
```

=====

13.
The following is a DFT calculation (PBE-GGA) of a relaxed structure of CaYZnIn2.

- Space group: No. 123
- D(E_F): 4.2 states/eV/f.u.
- VASP energy: -3.0229 eV per atom
- ΔH_f (0 K): 20 meV per atom

```
5
Lattice="5.2001 0.0000 0.0000 0.0000 5.3952 0.0000 0.0000 0.0000 5.2001" Properties=species:S:1:pos:R:3 pbc="T T T"
Y 0.0000 2.6976 0.0000
Zn 0.0000 0.0000 0.0000
Ca 2.6001 2.6976 2.6001
In 0.0000 0.0000 2.6001
In 2.6001 0.0000 0.0000
```

=====

14.
The following is a DFT calculation (PBE-GGA) of a relaxed structure of Ca5Zn4In.

- Space group: No. 123
- D(E_F): 7.3 states/eV/f.u.
- VASP energy: -2.0677 eV per atom
- ΔH_f (0 K): -284 meV per atom

```
10
Lattice="-1.6237 -0.5087 -3.2887 -1.8373 -2.9140 1.3579 -14.0237 11.2573 5.1825" Properties=species:S:1:pos:R:3 pbc="T T T"
Ca -3.2689 -0.4765 -0.3969
Ca -5.9918 1.7093 0.6094
Ca -8.7424 3.9173 1.6259
Ca -11.4930 6.1253 2.6424
Ca -14.2159 8.3111 3.6486
Zn -2.8868 2.3173 1.0668
Zn -5.6477 4.5336 2.0871
Zn -8.3760 6.7237 3.0954
Zn -11.1370 8.9400 4.1157
In 0.0000 0.0000 0.0000
```

=====

15.
The following is a DFT calculation (PBE-GGA) of a relaxed structure of Ca2ZnIn3.

- Space group: No. 44
- D(E_F): 3.0 states/eV/f.u.
- VASP energy: -2.5347 eV per atom
- ΔH_f (0 K): -286 meV per atom
- Relative energy among the computed polymorphs: 0.089 eV per atom

```
6
Lattice="4.7513 0.0000 -1.2647 -0.2795 3.6949 -1.0501 -0.0866 0.6099 9.2320" Properties=species:S:1:pos:R:3 pbc="T T T"
Ca 0.5157 0.5897 1.9376
Ca 4.0465 1.9103 5.6446
Zn 1.7673 4.0278 6.6394
In 3.1374 2.8782 2.2295
In 2.4272 2.0662 -0.4386
In 1.1217 3.2897 4.2141
```

=====

16.
The following is a DFT calculation (PBE-GGA) of a relaxed structure of CaZnIn5.

- Space group: No. 123
- D(E_F): 2.9 states/eV/f.u.
- VASP energy: -2.5776 eV per atom
- ΔH_f (0 K): -154 meV per atom

```
7
Lattice="-1.1504 -4.3655 -1.8851 2.3762 1.1522 -4.1184 6.3496 -2.9044 2.8511" Properties=species:S:1:pos:R:3 pbc="T T T"
Ca 0.0000 0.0000 0.0000
Zn 3.1748 -1.4522 1.4255
In 3.9102 -4.2344 1.0714
In 5.6735 -1.4756 -0.0452
In 0.6129 -1.6067 -3.0017
In 3.0523 -0.2766 -1.2221
In 1.2890 -3.0355 -0.1055
```

=====

17.
The following is a DFT calculation (PBE-GGA) of a relaxed structure of Ca4Zn3In.

- Space group: No. 12
- D(E_F): 5.1 states/eV/f.u.
- VASP energy: -2.1154 eV per atom
- ΔH_f (0 K): -295 meV per atom

```
8
Lattice="5.1200 0.0000 -1.3821 -0.3655 5.1145 -1.3542 -0.5205 -0.5806 8.2466" Properties=species:S:1:pos:R:3 pbc="T T T"
Ca 1.3814 1.4717 5.1176
Ca 2.8526 3.0621 0.3927
Ca 0.4753 0.5054 1.7607
Ca 3.7587 4.0285 3.7497
Zn -0.1828 2.5572 -0.6771
Zn 3.4856 0.9839 2.7377
Zn 0.7484 3.5500 2.7726
In 2.5600 0.0000 -0.6910
```

=====

18.
The following is a DFT calculation (PBE-GGA) of a relaxed structure of Ca3Zn2In9.

- Space group: No. 71
- D(E_F): 3.7 states/eV/f.u.
- VASP energy: -2.6153 eV per atom
- ΔH_f (0 K): -244 meV per atom

```
14
Lattice="4.5915 0.0000 1.2333 1.8453 8.5847 2.2936 0.0247 -0.2547 9.0718" Properties=species:S:1:pos:R:3 pbc="T T T"
Ca 0.0000 0.0000 0.0000
Ca 3.7645 2.5313 4.3122
Ca 2.6970 5.7987 8.2864
Zn 2.9218 2.6647 7.4498
Zn 3.5398 5.6653 5.1488
In 0.9350 4.1650 5.6827
In 4.7815 8.3272 9.6898
In 1.6801 0.0028 2.9088
In 4.3061 6.0190 11.4598
In 2.1555 2.3110 1.1389
In 5.5202 7.2729 6.9396
In 0.9414 1.0571 5.6590
In 4.7399 3.4844 9.8447
In 1.7217 4.8456 2.7540
```

=====

19.
The following is a DFT calculation (PBE-GGA) of a relaxed structure of Ca3Zn8In3.

- Space group: No. 71
- D(E_F): 5.8 states/eV/f.u.
- VASP energy: -1.9964 eV per atom
- ΔH_f (0 K): -253 meV per atom

```
14
Lattice="-1.7998 -0.4293 3.9384 5.1571 -5.5694 4.1535 5.1722 4.5214 5.2604" Properties=species:S:1:pos:R:3 pbc="T T T"
Ca 4.2647 -0.7387 6.6762
Ca 0.5824 -0.5508 5.0138
Ca 7.9470 -0.9265 8.3385
Zn 2.4012 2.0681 6.1305
Zn 6.1282 -3.5455 7.2218
Zn 2.3931 -3.3549 5.5356
Zn 6.1363 1.8775 7.8167
Zn 5.3884 -2.3223 9.4209
Zn 3.1410 0.8449 3.9314
Zn 5.3922 0.2089 9.6986
Zn 3.1372 -1.6863 3.6537
In -0.8999 -0.2147 1.9692
In 5.1604 -3.3518 4.3968
In 5.1689 2.3037 5.0172
```

=====

20.
The following is a DFT calculation (PBE-GGA) of a relaxed structure of Ca7Zn2In2.

- Space group: No. 65
- D(E_F): 10.1 states/eV/f.u.
- VASP energy: -2.1273 eV per atom
- ΔH_f (0 K): -124 meV per atom

```
11
Lattice="7.0840 -0.0040 -1.0633 0.0020 7.7315 0.0047 -1.5026 -0.0011 7.0040" Properties=species:S:1:pos:R:3 pbc="T T T"
Ca 6.3312 2.0999 2.4426
Ca 2.0437 5.6239 6.4739
Ca -0.7478 5.6265 3.5028
Ca 3.5398 2.1025 -0.5285
Ca 0.0000 0.0000 0.0000
Ca 2.7942 5.8254 2.9721
Ca 2.7893 1.9011 2.9734
Zn 4.5792 7.7282 1.2967
Zn 1.0043 -0.0018 4.6487
In 4.6102 3.8615 4.9083
In 0.9733 3.8649 1.0372
```